(1)
DFT (PBE-GGA) results for a geometry-optimized NaHfPdSe3 structure.

Structure (POSCAR):
```
NaHfPdSe3
1.0
-3.6678 -6.6516 -10.9276
2.6774 -2.5792 0.6713
-6.8255 -5.6016 5.7006
Se Na Pd Hf
12 4 4 4
direct
0.3500 0.2500 0.2654
0.6022 0.2500 0.4374
0.3978 0.7500 0.5626
0.8836 0.2500 0.6343
0.8500 0.2500 0.2346
0.8978 0.7500 0.9374
0.6500 0.7500 0.7346
0.6164 0.7500 0.1343
0.1164 0.7500 0.3657
0.3836 0.2500 0.8657
0.1500 0.7500 0.7654
0.1022 0.2500 0.0626
0.7254 0.2500 0.9444
0.2746 0.7500 0.0556
0.2254 0.2500 0.5556
0.7746 0.7500 0.4444
0.5030 0.7500 0.8993
0.9970 0.2500 0.3993
0.0030 0.7500 0.6007
0.4970 0.2500 0.1007
0.0152 0.2500 0.8242
0.5152 0.2500 0.6758
0.9848 0.7500 0.1758
0.4848 0.7500 0.3242
```

## Properties
- V (Å³ per cell) = 528.40
- total DFT energy (no corrections) (eV/f.u.) = -33.11



(2)
DFT (PBE-GGA) results for a geometry-optimized NaPmHf structure.

Structure (POSCAR):
```
NaPmHf
1.0
0.0000 3.6551 3.6551
3.6551 0.0000 3.6551
3.6551 3.6551 0.0000
Pm Hf Na
1 1 1
direct
0.2500 0.2500 0.2500
0.5000 0.5000 0.5000
0.0000 0.0000 0.0000
```

## Properties
- V (Å³ per cell) = 97.67
- total DFT energy (no corrections) (eV/f.u.) = -11.87



(3)
DFT (PBE-GGA) results for a geometry-optimized NaPmHf structure.

Structure (POSCAR):
```
NaPmHf
1.0
0.0000 3.6731 3.6731
3.6731 0.0000 3.6731
3.6731 3.6731 0.0000
Na Pm Hf
1 1 1
direct
0.2500 0.2500 0.2500
0.7500 0.7500 0.7500
0.0000 0.0000 0.0000
```

## Properties
- V (Å³ per cell) = 99.12
- total DFT energy (no corrections) (eV/f.u.) = -12.11



(4)
DFT (PBE-GGA) results for a geometry-optimized NaHfPt structure.

Structure (POSCAR):
```
NaHfPt
1.0
0.0000 3.2046 3.2046
3.2046 0.0000 3.2046
3.2046 3.2046 0.0000
Pt Hf Na
1 1 1
direct
0.0000 0.0000 0.0000
0.2500 0.2500 0.2500
0.7500 0.7500 0.7500
```

## Properties
- V (Å³ per cell) = 65.82
- total DFT energy (no corrections) (eV/f.u.) = -17.78



(5)
DFT (PBE-GGA) results for a geometry-optimized NaHfScPt structure.

Structure (POSCAR):
```
NaHfScPt
1.0
-3.9866 -1.2537 2.3120
-1.6623 2.7314 3.5478
-4.0076 2.5259 -0.6076
Hf Na Sc Pt
1 1 1 1
direct
0.5000 0.5000 0.5000
0.7500 0.7500 0.7500
0.0000 0.0000 0.0000
0.2500 0.2500 0.2500
```

## Properties
- V (Å³ per cell) = 77.03
- total DFT energy (no corrections) (eV/f.u.) = -24.67



(6)
DFT (PBE-GGA) results for a geometry-optimized NaHfTlPt structure.

Structure (POSCAR):
```
NaHfTlPt
1.0
-4.3861 -0.4295 2.0046
-1.8343 3.6397 2.6132
-3.7128 2.5860 -1.7229
Tl Pt Na Hf
1 1 1 1
direct
0.0000 0.0000 0.0000
0.5000 0.5000 0.5000
0.7500 0.7500 0.7500
0.2500 0.2500 0.2500
```

## Properties
- V (Å³ per cell) = 80.25
- total DFT energy (no corrections) (eV/f.u.) = -20.31



(7)
DFT (PBE-GGA) results for a geometry-optimized NaHfTlPt structure.

Structure (POSCAR):
```
NaHfTlPt
1.0
0.0000 3.3552 3.3552
3.3552 0.0000 3.3552
3.3552 3.3552 0.0000
Na Hf Pt Tl
1 1 1 1
direct
0.7500 0.7500 0.7500
0.5000 0.5000 0.5000
0.2500 0.2500 0.2500
0.0000 0.0000 0.0000
```

## Properties
- V (Å³ per cell) = 75.54
- total DFT energy (no corrections) (eV/f.u.) = -20.56



(8)
DFT (PBE-GGA) results for a geometry-optimized NaPuHf structure.

Structure (POSCAR):
```
NaPuHf
1.0
2.2083 -3.2762 3.0557
-0.3923 0.5445 4.9494
-2.7696 -3.1999 2.6528
Na Hf Pu
1 1 1
direct
0.0000 0.0000 0.0000
0.2500 0.2500 0.2500
0.7500 0.7500 0.7500
```

## Properties
- V (Å³ per cell) = 88.11
- total DFT energy (no corrections) (eV/f.u.) = -21.39